Compound: LiHo3Pu3Se8
Source: Alexandria
Functional: PBE
Structure: optimized geometry

Unit cell a=8.156 b=8.156 c=8.156 alpha=60.15 beta=60.15 gamma=60.15
Atoms (fractional coordinates):
Li 0.000 0.000 0.000
Ho 0.000 0.000 0.500
Ho 0.000 0.500 0.000
Ho 0.500 0.000 0.000
Pu 0.000 0.500 0.500
Pu 0.500 0.000 0.500
Pu 0.500 0.500 0.000
Se 0.242 0.753 0.753
Se 0.247 0.247 0.758
Se 0.247 0.758 0.247
Se 0.248 0.248 0.248
Se 0.752 0.752 0.752
Se 0.753 0.242 0.753
Se 0.753 0.753 0.242
Se 0.758 0.247 0.247

Computed properties:
Energy relative to the elements, uncorrected   -37.4 kcal/mol of atoms
Space-group type   R-3m (166)
DFT total energy   -7.3901 eV/atom